Entry 1:
# PBE Ti3InPd, relaxed
data_Ti3InPd
_cell_length_a 10.0309
_cell_length_b 4.5154
_cell_length_c 7.9870
_cell_angle_alpha 90.00
_cell_angle_beta 90.00
_cell_angle_gamma 90.00
_symmetry_space_group_name_H-M 'P n m a'
_symmetry_Int_Tables_number 62
_symmetry_space_group_name_Hall '-P 2ac 2n'
loop_
_atom_site_label
_atom_site_type_symbol
_atom_site_fract_x
_atom_site_fract_y
_atom_site_fract_z
Ti1 Ti 0.0510 0.2500 0.0921
Ti2 Ti 0.0588 0.7500 0.5660
Ti3 Ti 0.1146 0.2500 0.7544
In1 In 0.2498 0.2500 0.4164
Pd1 Pd 0.1309 0.7500 0.2417
# V ... 361.8 Å³/cell
# DOS at the Fermi energy ... 22.2 states/eV/cell
# Energy above the lowest structure with this stoichiometry ... 0.0399 eV/atom
# ΔE_f ... -164 meV per atom



Entry 2:
# PBE PuNb2B, relaxed
data_PuNb2B
_cell_length_a 3.1955
_cell_length_b 3.1955
_cell_length_c 25.2015
_cell_angle_alpha 90.00
_cell_angle_beta 90.00
_cell_angle_gamma 120.00
_symmetry_space_group_name_H-M 'R -3 m'
_symmetry_Int_Tables_number 166
_symmetry_space_group_name_Hall '-R 3 2"'
loop_
_atom_site_label
_atom_site_type_symbol
_atom_site_fract_x
_atom_site_fract_y
_atom_site_fract_z
Pu1 Pu 0.0000 0.0000 0.0000
Nb1 Nb 0.0000 0.0000 0.1167
B1 B 0.0000 0.0000 0.5000
# V ... 222.9 Å³/cell
# DOS at the Fermi energy ... 26.2 states/eV/cell
# ΔE_f ... 94 meV per atom



Entry 3:
# PBE LiScMn2, relaxed
data_LiScMn2
_cell_length_a 3.1007
_cell_length_b 3.9285
_cell_length_c 8.7536
_cell_angle_alpha 90.00
_cell_angle_beta 90.00
_cell_angle_gamma 90.00
_symmetry_space_group_name_H-M 'I m m m'
_symmetry_Int_Tables_number 71
_symmetry_space_group_name_Hall '-I 2 2'
loop_
_atom_site_label
_atom_site_type_symbol
_atom_site_fract_x
_atom_site_fract_y
_atom_site_fract_z
Li1 Li 0.0000 0.0000 0.0000
Sc1 Sc 0.0000 0.0000 0.5000
Mn1 Mn 0.0000 0.5000 0.2524
# V ... 106.6 Å³/cell
# DOS at the Fermi energy ... 8.1 states/eV/cell
# Energy above the lowest structure with this stoichiometry ... 0.2438 eV/atom
# ΔE_f ... 406 meV per atom